1.
# LaOs

A geometry-optimized LaOs structure (PBEsol, Alexandria).

Properties
* V: 25.361 A^3/atom
* mass density: 10.78 g cm⁻³
* energy of formation: 0.04 eV per atom
* total DFT energy (no corrections): -17.488 eV per formula unit

Cell lengths 8.3356, 4.4189, 5.5081 Å; angles 90.00, 90.00, 90.00 degrees
With the nearest neighbours (Å) after each atom.
Space group Pnma (No. 62)
Inequivalent atoms, fractional coordinates:
La 0.1749 0.2500 0.0775 x4  5 Os 3.01-3.32
Os 0.0273 0.2500 0.5754 x4  2 Os 2.40

---

2.
# La4Os

A geometry-optimized La4Os structure (PBEsol, Alexandria).

Properties
* V: 29.527 A^3/atom
* mass density: 8.39 g cm⁻³
* energy of formation: 0.00 eV per atom
* total DFT energy (no corrections): -33.592 eV per formula unit
* E above lowest polymorph: 0.0000 eV per atom

Cell lengths 8.9980, 8.9980, 3.6469 Å; angles 90.00, 90.00, 90.00 degrees
With the nearest neighbours (Å) after each atom.
Space group I4/m (No. 87)
Inequivalent atoms, fractional coordinates:
La 0.0762 0.2559 0.0000 x8  2 Os 3.02
Os 0.0000 0.0000 0.5000 x2  8 La 3.02

---

3.
# La3Os2

A geometry-optimized La3Os2 structure (PBEsol, Alexandria).

Properties
* V: 23.256 A^3/atom
* mass density: 11.38 g cm⁻³
* energy of formation: 0.13 eV per atom
* total DFT energy (no corrections): -39.829 eV per formula unit

Cell lengths 4.7237, 4.7237, 18.0520 Å; angles 90.00, 90.00, 120.00 degrees
With the nearest neighbours (Å) after each atom.
Space group R-3m (No. 166, hexagonal axes)
Inequivalent atoms, fractional coordinates:
La 0.0000 0.0000 0.0000 x3  6 Os 2.93
La 0.0000 0.0000 0.2114 x6  4 Os 2.95-3.28, 3 La 3.17
Os 0.0000 0.0000 0.3929 x6  7 La 2.93-3.28